1.
# PBE Cu7Te4, optimized geometry
# **Crystal system**: monoclinic
# **Electronic total energy**: -3.55 eV/atom
# **Excess energy over the best structure of this formula in the dataset**: 22 meV per atom
data_Cu7Te4
_symmetry_space_group_name_H-M 'P 1 21/m 1'
_symmetry_Int_Tables_number 11
_symmetry_space_group_name_Hall '-P 2yb'
_cell_length_a 7.2405
_cell_length_b 8.2219
_cell_length_c 35.7960
_cell_angle_alpha 90.00
_cell_angle_beta 90.14
_cell_angle_gamma 90.00
loop_
_atom_site_label
_atom_site_type_symbol
_atom_site_fract_x
_atom_site_fract_y
_atom_site_fract_z
Cu1 Cu 0.0701 0.2500 0.0313
Cu2 Cu 0.0718 0.0077 0.9339
Cu3 Cu 0.0742 0.7500 0.8268
Cu4 Cu 0.0764 0.0070 0.7405
Cu5 Cu 0.0792 0.2500 0.2722
Cu6 Cu 0.0785 0.5023 0.1349
Cu7 Cu 0.1016 0.7500 0.2352
Cu8 Cu 0.1369 0.0570 0.8084
Cu9 Cu 0.1705 0.2500 0.8927
Cu10 Cu 0.1716 0.5241 0.0035
Cu11 Cu 0.1716 0.7500 0.0944
Cu12 Cu 0.1978 0.0220 0.2064
Cu13 Cu 0.3694 0.7500 0.0342
Cu14 Cu 0.3777 0.2500 0.8345
Cu15 Cu 0.3866 0.2500 0.2362
Te1 Te 0.2540 0.7500 0.7622
Te2 Te 0.2636 0.2500 0.9667
Te3 Te 0.2658 0.7500 0.1672
Te4 Te 0.2699 0.5124 0.2780
Te5 Te 0.2883 0.5306 0.8704
Te6 Te 0.2902 0.2500 0.7585
Te7 Te 0.2923 0.0268 0.0707
Te8 Te 0.2928 0.7500 0.9604
Te9 Te 0.2962 0.2500 0.1612


2.
# PBE Cu15Te8, optimized geometry
# **Crystal system**: trigonal
# **Electronic total energy**: -3.56 eV/atom
# **Excess energy over the best structure of this formula in the dataset**: 4 meV per atom
data_Cu15Te8
_symmetry_space_group_name_H-M 'P 3 m 1'
_symmetry_Int_Tables_number 156
_symmetry_space_group_name_Hall 'P 3 -2"'
_cell_length_a 8.3760
_cell_length_b 8.3760
_cell_length_c 41.2541
_cell_angle_alpha 90.00
_cell_angle_beta 90.00
_cell_angle_gamma 120.00
loop_
_atom_site_label
_atom_site_type_symbol
_atom_site_fract_x
_atom_site_fract_y
_atom_site_fract_z
Cu1 Cu 0.0000 0.0000 0.0000
Cu2 Cu 0.0000 0.0000 0.1614
Cu3 Cu 0.0000 0.0000 0.3360
Cu4 Cu 0.0036 0.5018 0.0391
Cu5 Cu 0.0063 0.5032 0.2138
Cu6 Cu 0.0089 0.5044 0.3899
Cu7 Cu 0.1504 0.3009 0.1960
Cu8 Cu 0.1511 0.3023 0.3703
Cu9 Cu 0.1588 0.3177 0.0208
Cu10 Cu 0.1748 0.3497 0.4321
Cu11 Cu 0.1841 0.3682 0.0821
Cu12 Cu 0.1845 0.3690 0.2565
Cu13 Cu 0.3087 0.1543 0.0618
Cu14 Cu 0.3112 0.1556 0.2382
Cu15 Cu 0.3118 0.1559 0.4127
Cu16 Cu 0.3333 0.6667 0.1182
Cu17 Cu 0.3333 0.6667 0.2924
Cu18 Cu 0.3333 0.6667 0.4517
Cu19 Cu 0.6667 0.3333 0.0622
Cu20 Cu 0.6667 0.3333 0.2371
Cu21 Cu 0.6667 0.3333 0.4123
Te1 Te 0.0000 0.0000 0.0961
Te2 Te 0.0000 0.0000 0.2714
Te3 Te 0.0000 0.0000 0.4479
Te4 Te 0.3333 0.6667 0.0066
Te5 Te 0.3333 0.6667 0.1824
Te6 Te 0.3333 0.6667 0.3573
Te7 Te 0.3621 0.1811 0.9985
Te8 Te 0.3636 0.1818 0.1749
Te9 Te 0.3646 0.1823 0.3501
Te10 Te 0.5135 0.0270 0.4546
Te11 Te 0.5142 0.0284 0.1034
Te12 Te 0.5140 0.0280 0.2784